# SmPuCd GGA-PBE relaxed
data_SmPuCd
_cell_length_a 3.9249
_cell_length_b 3.9249
_cell_length_c 37.4231
_cell_angle_alpha 90.00
_cell_angle_beta 90.00
_cell_angle_gamma 120.00
_symmetry_space_group_name_H-M 'R -3 m'
_symmetry_Int_Tables_number 166
_symmetry_space_group_name_Hall '-R 3 2"'
loop_
_atom_site_label
_atom_site_fract_x
_atom_site_fract_y
_atom_site_fract_z
Sm1 0.0000 0.0000 0.0895
Pu1 0.0000 0.0000 0.1611
Cd1 0.0000 0.0000 0.3600
# DFT formation energy	0.225	eV per atom